First-principles (PBE with a Hubbard U) data for a relaxed ThMn3B4O12 crystal, as listed in Alexandria.

Cell: 6.2377 6.2377 6.2377 Å, 103.22 103.22 103.22°
Fractional coordinates of all 20 atoms:
Th 0.0000 0.0000 0.0000
Mn 0.0000 0.5472 0.4528
Mn 0.4528 0.0000 0.5472
Mn 0.5472 0.4528 0.0000
B 0.0473 0.5000 0.9527
B 0.5000 0.5000 0.5000
B 0.5000 0.9527 0.0473
B 0.9527 0.0473 0.5000
O 0.0307 0.6359 0.8057
O 0.0931 0.9069 0.5000
O 0.1943 0.3641 0.9693
O 0.3578 0.6422 0.5000
O 0.3641 0.9693 0.1943
O 0.5000 0.0931 0.9069
O 0.5000 0.3578 0.6422
O 0.6359 0.8057 0.0307
O 0.6422 0.5000 0.3578
O 0.8057 0.0307 0.6359
O 0.9069 0.5000 0.0931
O 0.9693 0.1943 0.3641

Spin magnetization   13.0 μB per formula unit
E   -8.12 eV/atom
N(E_F)   5.01 states/eV/f.u.
Calculated volume   10.98 Å³/atom